[1]
First-principles (PBE) data for an optimized crystal structure of Cs2CoPd, as listed in Alexandria via LeMat-Bulk.

- calculated density (Mg/m³) = 5.3
- spin magnetization (μB/cell) = 2.395
- symmetry = Fm-3m, No. 225
- formation enthalpy at 0 K (eV per atom) = 1.065

abc: 5.771 5.771 5.771
angles: 60.00 60.00 60.00
Fractional coordinates of all 4 atoms:
Cs 0.750 0.750 0.750
Pd 0.500 0.500 0.500
Co 0.000 0.000 0.000
Cs 0.250 0.250 0.250


[2]
First-principles (PBE) data for an optimized crystal structure of Cs3CoPd, as listed in Alexandria via LeMat-Bulk.

- calculated density (Mg/m³) = 3.2
- spin magnetization (μB/cell) = 1.977
- symmetry = Pm-3m, No. 221
- formation enthalpy at 0 K (eV per atom) = 0.731
- excess energy over the best structure of this formula in the dataset (eV per atom) = 0.0000

abc: 6.656 6.656 6.656
angles: 90.00 90.00 90.00
Fractional coordinates of all 5 atoms:
Pd 0.000 0.000 0.000
Cs 0.000 0.000 0.500
Cs 0.500 0.000 0.000
Co 0.500 0.500 0.500
Cs 0.000 0.500 0.000


[3]
First-principles (PBE) data for an optimized crystal structure of CsCoPd2, as listed in Alexandria via LeMat-Bulk.

- calculated density (Mg/m³) = 5.6
- spin magnetization (μB/cell) = 5.584
- symmetry = I4_1/amd, No. 141
- formation enthalpy at 0 K (eV per atom) = 0.560
- excess energy over the best structure of this formula in the dataset (eV per atom) = 0.0000

abc: 5.492 5.492 8.854
angles: 71.93 71.93 90.00
Fractional coordinates of all 8 atoms:
Cs 0.750 0.250 0.500
Pd 0.875 0.625 0.750
Pd 0.375 0.625 0.250
Co 0.250 0.750 0.500
Co 0.500 0.500 0.000
Pd 0.375 0.625 0.750
Cs 0.000 0.000 0.000
Pd 0.375 0.125 0.250